Entry 1:
Below is crystalline PrZn3Pd2 at its relaxed geometry, with properties calculated at the PBE level.

The structure in CIF format:
```
data_PrZn3Pd2
_chemical_formula_sum 'Pr4 Zn12 Pd8'
_space_group_name_H-M_alt 'C 1 2/m 1'
_space_group_IT_number 12
_cell_length_a 15.3942
_cell_length_b 4.1748
_cell_length_c 7.9930
_cell_angle_alpha 90.00
_cell_angle_beta 117.25
_cell_angle_gamma 90.00
loop_
_space_group_symop_operation_xyz
'x,y,z'
'-x,-y,-z'
'-x,y,-z'
'x,-y,z'
'x+1/2,y+1/2,z'
'-x+1/2,-y+1/2,-z'
'-x+1/2,y+1/2,-z'
'x+1/2,-y+1/2,z'
loop_
_atom_site_label
_atom_site_fract_x
_atom_site_fract_y
_atom_site_fract_z
Pr1 0.1412 0.0000 0.0525
Zn1 0.0380 0.0000 0.3818
Zn2 0.0989 0.5000 0.6892
Zn3 0.1905 0.5000 0.4769
Pd1 0.0259 0.5000 0.1832
Pd2 0.2029 0.0000 0.6987
```

Computed properties:
Size of the total moment: 0.00 μB/f.u.
Crystal system: monoclinic
Total energy: -87.933 eV/cell
Energy of formation: -499 meV per atom


Entry 2:
Below is crystalline Zr2Si2Cl at its relaxed geometry, with properties calculated at the PBE level.

The structure in CIF format:
```
data_Zr2Si2Cl
_chemical_formula_sum 'Zr4 Si4 Cl2'
_space_group_name_H-M_alt 'I 4/m m m'
_space_group_IT_number 139
_space_group_name_Hall '-I 4 2'
_cell_length_a 3.4862
_cell_length_b 3.4862
_cell_length_c 15.3712
_cell_angle_alpha 90.00
_cell_angle_beta 90.00
_cell_angle_gamma 90.00
loop_
_atom_site_label
_atom_site_fract_x
_atom_site_fract_y
_atom_site_fract_z
Zr1 0.0000 0.0000 0.1140
Si1 0.0000 0.5000 0.2500
Cl1 0.0000 0.0000 0.5000
```

Computed properties:
Size of the total moment: 0.00 μB/f.u.
Crystal system: tetragonal
Total energy: -64.079 eV/cell
Formation energy from raw total energies: -0.450 eV/atom


Entry 3:
Below is crystalline La2Be2Pb at its relaxed geometry, with properties calculated at the PBE level.

The structure in CIF format:
```
data_La2Be2Pb
_chemical_formula_sum 'La4 Be4 Pb2'
_space_group_name_H-M_alt 'P 4/m b m'
_space_group_IT_number 127
_space_group_name_Hall '-P 4 2ab'
_cell_length_a 7.1160
_cell_length_b 7.1160
_cell_length_c 4.6649
_cell_angle_alpha 90.00
_cell_angle_beta 90.00
_cell_angle_gamma 90.00
loop_
_atom_site_label
_atom_site_fract_x
_atom_site_fract_y
_atom_site_fract_z
La1 0.1739 0.3261 0.0000
Be1 0.1097 0.6097 0.5000
Pb1 0.0000 0.0000 0.5000
```

Computed properties:
Size of the total moment: 0.00 μB/f.u.
Crystal system: tetragonal
Total energy: -42.991 eV/cell
Energy of formation: -96 meV per atom


Entry 4:
Below is crystalline Pr2HoEr at its relaxed geometry, with properties calculated at the PBE level.

The structure in CIF format:
```
data_Pr2HoEr
_chemical_formula_sum 'Pr6 Ho3 Er3'
_space_group_name_H-M_alt 'R 3 m'
_space_group_IT_number 160
_space_group_name_Hall 'R 3 -2"'
_cell_length_a 3.6303
_cell_length_b 3.6303
_cell_length_c 35.1529
_cell_angle_alpha 90.00
_cell_angle_beta 90.00
_cell_angle_gamma 120.00
loop_
_atom_site_label
_atom_site_fract_x
_atom_site_fract_y
_atom_site_fract_z
Pr1 0.0000 0.0000 0.0000
Pr2 0.0000 0.0000 0.1665
Ho1 0.0000 0.0000 0.4163
Er1 0.0000 0.0000 0.5840
```

Computed properties:
Size of the total moment: 0.00 μB/f.u.
Crystal system: trigonal
Total energy: -55.808 eV/cell
Energy of formation: 24 meV per atom


Entry 5:
Below is crystalline In2NiPd8 at its relaxed geometry, with properties calculated at the PBE level.

The structure in CIF format:
```
data_In2NiPd8
_chemical_formula_sum 'In4 Ni2 Pd16'
_space_group_name_H-M_alt 'C 1 2/m 1'
_space_group_IT_number 12
_cell_length_a 14.5221
_cell_length_b 5.2326
_cell_length_c 4.8665
_cell_angle_alpha 90.00
_cell_angle_beta 93.45
_cell_angle_gamma 90.00
loop_
_space_group_symop_operation_xyz
'x,y,z'
'-x,-y,-z'
'-x,y,-z'
'x,-y,z'
'x+1/2,y+1/2,z'
'-x+1/2,-y+1/2,-z'
'-x+1/2,y+1/2,-z'
'x+1/2,-y+1/2,z'
loop_
_atom_site_label
_atom_site_fract_x
_atom_site_fract_y
_atom_site_fract_z
In1 0.1723 0.0000 0.3586
Ni1 0.0000 0.0000 0.5000
Pd1 0.0803 0.5000 0.3812
Pd2 0.0854 0.2496 0.8820
Pd3 0.2425 0.5000 0.1333
```

Computed properties:
Size of the total moment: 0.00 μB/f.u.
Crystal system: monoclinic
Total energy: -108.070 eV/cell
Energy of formation: -112 meV per atom


Entry 6:
Below is crystalline KGePbSe3 at its relaxed geometry, with properties calculated at the PBE level.

The structure in CIF format:
```
data_KGePbSe3
_chemical_formula_sum 'K2 Ge2 Pb2 Se6'
_space_group_name_H-M_alt 'P 1 21/m 1'
_space_group_IT_number 11
_cell_length_a 9.1849
_cell_length_b 4.6813
_cell_length_c 9.9951
_cell_angle_alpha 90.00
_cell_angle_beta 100.43
_cell_angle_gamma 90.00
loop_
_space_group_symop_operation_xyz
'x,y,z'
'-x,-y,-z'
'-x,y+1/2,-z'
'x,-y+1/2,z'
loop_
_atom_site_label
_atom_site_fract_x
_atom_site_fract_y
_atom_site_fract_z
K1 0.1698 0.2500 0.1935
Ge1 0.1009 0.2500 0.5982
Pb1 0.3729 0.7500 0.8619
Se1 0.1095 0.2500 0.8352
Se2 0.1710 0.7500 0.5188
Se3 0.4170 0.7500 0.1487
```

Computed properties:
Size of the total moment: 0.00 μB/f.u.
Crystal system: monoclinic
Total energy: -46.886 eV/cell
Formation energy from raw total energies: -0.594 eV/atom


Entry 7:
Below is crystalline Na3Np3PtS8 at its relaxed geometry, with properties calculated at the PBE level.

The structure in CIF format:
```
data_Na3Np3PtS8
_chemical_formula_sum 'Na6 Np6 Pt2 S16'
_space_group_name_H-M_alt 'C 1 2/m 1'
_space_group_IT_number 12
_cell_length_a 13.8930
_cell_length_b 7.6123
_cell_length_c 8.1192
_cell_angle_alpha 90.00
_cell_angle_beta 124.12
_cell_angle_gamma 90.00
loop_
_space_group_symop_operation_xyz
'x,y,z'
'-x,-y,-z'
'-x,y,-z'
'x,-y,z'
'x+1/2,y+1/2,z'
'-x+1/2,-y+1/2,-z'
'-x+1/2,y+1/2,-z'
'x+1/2,-y+1/2,z'
loop_
_atom_site_label
_atom_site_fract_x
_atom_site_fract_y
_atom_site_fract_z
Na1 0.0000 0.0000 0.0000
Na2 0.2500 0.2500 0.0000
Np1 0.0000 0.5000 0.5000
Np2 0.2500 0.2500 0.5000
Pt1 0.0000 0.0000 0.5000
S1 0.0095 0.2199 0.2985
S2 0.1983 0.5000 0.2380
S3 0.2405 0.5000 0.7344
```

Computed properties:
Size of the total moment: 3.19 μB/f.u.
Crystal system: monoclinic
Total energy: -197.432 eV/cell
Formation energy from raw total energies: -1.125 eV/atom